(one)
A relaxed structure of Na2VPO6, computed with PBE with a Hubbard U.

a = 6.267 Å, b = 12.586 Å, c = 8.315 Å
α = 90.00°, β = 118.53°, γ = 90.00°
Space group P2_1/c (No. 14)
Inequivalent atoms, fractional coordinates:
1 Na 0.117 0.141 0.423 x4
2 Na 0.258 0.073 0.063 x4
3 V 0.406 0.720 0.624 x4
4 P 0.210 0.614 0.804 x4
5 O 0.079 0.509 0.744 x4
6 O 0.095 0.699 0.646 x4
7 O 0.216 0.656 0.982 x4
8 O 0.327 0.218 0.264 x4
9 O 0.413 0.642 0.466 x4
10 O 0.474 0.613 0.824 x4

Computed properties:
The value obtained for the mass density is 2.6 g/cm3. Its density of states at the Fermi level is 0.000 states/eV per cell.

---

(two)
A relaxed structure of Na2VPO6, computed with PBE with a Hubbard U.

a = 11.620 Å, b = 4.948 Å, c = 9.046 Å
α = 90.00°, β = 90.00°, γ = 90.00°
Space group Pna2_1 (No. 33)
Inequivalent atoms, fractional coordinates:
1 Na 0.077 0.018 0.000 x4
2 Na 0.121 0.536 0.292 x4
3 V 0.130 0.452 0.666 x4
4 P 0.225 0.069 0.471 x4
5 O 0.020 0.660 0.634 x4
6 O 0.070 0.231 0.781 x4
7 O 0.103 0.215 0.480 x4
8 O 0.212 0.729 0.096 x4
9 O 0.223 0.763 0.492 x4
10 O 0.226 0.641 0.814 x4

Computed properties:
The value obtained for the mass density is 2.9 g/cm3. Its density of states at the Fermi level is 0.000 states/eV per cell.

---

Tell me which of them is the least stable. Sure, it is (two).

---

(one)
A relaxed structure of NaPWO2, computed with PBE with a Hubbard U.

a = 3.980 Å, b = 3.980 Å, c = 4.738 Å
α = 90.00°, β = 90.00°, γ = 90.00°
Space group P4/mmm (No. 123)
Inequivalent atoms, fractional coordinates:
1 Na 0.000 0.000 0.000 x1
2 P 0.000 0.000 0.500 x1
3 W 0.500 0.500 0.500 x1
4 O 0.000 0.500 0.000 x2

Computed properties:
The value obtained for the mass density is 6.0 g/cm3. Its density of states at the Fermi level is 3.312 states/eV per cell.

---

(two)
A relaxed structure of NaPWO2, computed with PBE with a Hubbard U.

a = 3.927 Å, b = 3.927 Å, c = 4.966 Å
α = 90.00°, β = 90.00°, γ = 90.00°
Space group P4/mmm (No. 123)
Inequivalent atoms, fractional coordinates:
1 Na 0.000 0.000 0.000 x1
2 P 0.500 0.500 0.000 x1
3 W 0.500 0.500 0.500 x1
4 O 0.000 0.500 0.500 x2

Computed properties:
The value obtained for the mass density is 5.9 g/cm3.

---

Tell me which of them is the least stable. Sure, it is (one).